(1)
# FeSi2Ni

A geometry-optimized FeSi2Ni structure (PBE-GGA, Alexandria).

Properties
Magnetic moment (Bohr magnetons per cell): 0.2
Space group: Cm
E_tot (eV/atom): -6.727
Energy relative to the elements, uncorrected (eV/atom): -0.454

Unit cell a=4.348 b=4.348 c=3.953 alpha=75.85 beta=75.85 gamma=38.09
Fractional positions:
Ni (0.258, 0.258, 0.184)
Si (0.998, 0.998, 0.057)
Fe (0.488, 0.488, 0.574)
Si (0.755, 0.755, 0.685)

***

(2)
# FeSi2Ni4

A geometry-optimized FeSi2Ni4 structure (PBE-GGA, Alexandria).

Properties
Magnetic moment (Bohr magnetons per cell): 6.3
Space group: Cc
E_tot (eV/atom): -6.382
Energy relative to the lowest polymorph listed for this composition (eV/atom): 0.000
Energy relative to the elements, uncorrected (eV/atom): -0.320

Unit cell a=6.036 b=5.158 c=6.343 alpha=105.31 beta=110.74 gamma=107.43
Fractional positions:
Ni (0.652, 0.921, 0.164)
Si (0.471, 0.578, 0.743)
Fe (0.908, 0.038, 0.944)
Ni (0.237, 0.007, 0.336)
Ni (0.102, 0.206, 0.687)
Ni (0.558, 0.776, 0.486)
Si (0.477, 0.084, 0.757)
Ni (0.165, 0.769, 0.813)
Si (0.883, 0.720, 0.412)
Ni (0.822, 0.540, 0.014)
Ni (0.080, 0.415, 0.370)
Fe (0.714, 0.344, 0.556)
Ni (0.460, 0.295, 0.130)
Si (0.221, 0.558, 0.088)

***

(3)
# FeSi2Ni

A geometry-optimized FeSi2Ni structure (PBE-GGA, Alexandria).

Properties
Magnetic moment (Bohr magnetons per cell): 0.0
Space group: Immm
E_tot (eV/atom): -6.593
Energy relative to the elements, uncorrected (eV/atom): -0.320

Unit cell a=4.185 b=4.185 c=4.185 alpha=128.53 beta=128.07 gamma=76.14
Fractional positions:
Si (0.000, 0.000, 0.000)
Ni (0.750, 0.250, 0.500)
Si (0.500, 0.500, 0.000)
Fe (0.250, 0.750, 0.500)

***

(4)
# FeSi2Ni4

A geometry-optimized FeSi2Ni4 structure (PBE-GGA, Alexandria).

Properties
Magnetic moment (Bohr magnetons per cell): 5.1
Space group: P4_2/mnm
E_tot (eV/atom): -6.337
Energy relative to the lowest polymorph listed for this composition (eV/atom): 0.045
Energy relative to the elements, uncorrected (eV/atom): -0.275

Unit cell a=3.709 b=6.722 c=6.722 alpha=90.00 beta=90.00 gamma=90.00
Fractional positions:
Si (0.000, 0.771, 0.229)
Ni (0.500, 0.160, 0.587)
Ni (0.500, 0.413, 0.840)
Ni (0.000, 0.913, 0.660)
Ni (0.500, 0.587, 0.160)
Fe (0.500, 0.000, 0.000)
Fe (0.000, 0.500, 0.500)
Ni (0.500, 0.840, 0.413)
Ni (0.000, 0.087, 0.340)
Si (0.500, 0.729, 0.729)
Ni (0.000, 0.340, 0.087)
Ni (0.000, 0.660, 0.913)
Si (0.500, 0.271, 0.271)
Si (0.000, 0.229, 0.771)

***

(5)
# FeSi4Ni7

A geometry-optimized FeSi4Ni7 structure (PBE-GGA, Alexandria).

Properties
Magnetic moment (Bohr magnetons per cell): 1.2
Space group: P-1
E_tot (eV/atom): -6.280
Energy relative to the elements, uncorrected (eV/atom): -0.394

Unit cell a=4.979 b=5.481 c=5.766 alpha=83.13 beta=62.46 gamma=101.04
Fractional positions:
Ni (0.249, 0.991, 0.498)
Ni (0.983, 0.651, 0.340)
Si (0.511, 0.702, 0.339)
Si (0.489, 0.298, 0.661)
Si (0.209, 0.306, 0.189)
Si (0.791, 0.694, 0.811)
Ni (0.017, 0.349, 0.660)
Ni (0.751, 0.009, 0.502)
Ni (0.500, 0.000, 0.000)
Fe (0.000, 0.000, 0.000)
Ni (0.287, 0.636, 0.839)
Ni (0.713, 0.364, 0.161)

***

(6)
# FeSi2Ni3

A geometry-optimized FeSi2Ni3 structure (PBE-GGA, Alexandria).

Properties
Magnetic moment (Bohr magnetons per cell): 3.3
Space group: Ibam
E_tot (eV/atom): -6.488
Energy relative to the elements, uncorrected (eV/atom): -0.379

Unit cell a=4.932 b=4.793 c=6.866 alpha=110.43 beta=111.05 gamma=90.00
Fractional positions:
Fe (0.000, 0.750, 0.000)
Si (0.877, 0.632, 0.264)
Ni (0.066, 0.821, 0.642)
Ni (0.576, 0.321, 0.642)
Ni (0.934, 0.179, 0.358)
Si (0.387, 0.132, 0.264)
Si (0.613, 0.868, 0.736)
Ni (0.500, 0.250, 0.000)
Ni (0.424, 0.679, 0.358)
Si (0.123, 0.368, 0.736)
Fe (0.000, 0.250, 0.000)
Ni (0.500, 0.750, 0.000)